Below is a relaxed AsPdSe2Br crystal, with properties calculated at the PBE-GGA level.

## Properties
Fermi-level density of states: 8.2 states/eV/f.u.
total DFT energy (no corrections): -3.06 eV/atom
spin magnetization: 1.1 μB per formula unit
energy relative to the elements, uncorrected: 0.64 eV per atom
energy relative to the lowest polymorph listed for this composition: 0.143 eV/atom

Cell: 5.0676 5.0676 5.1542 Å, 90.00 90.00 90.00°
Fractional positions:
As1 0.0000 0.0000 0.0000
Pd1 0.5000 0.5000 0.5000
Se1 0.0000 0.5000 0.0000
Se2 0.5000 0.0000 0.0000
Br1 0.0000 0.0000 0.5000

***

Below is a relaxed Al2Hg2Te crystal, with properties calculated at the PBE-GGA level.

## Properties
Fermi-level density of states: 2.5 states/eV/f.u.
total DFT energy (no corrections): -2.10 eV/atom
spin magnetization: 0.0 μB per formula unit
energy relative to the elements, uncorrected: 0.15 eV per atom
energy relative to the lowest polymorph listed for this composition: 0.039 eV/atom

Cell: 7.0962 7.0962 7.0962 Å, 144.19 144.19 51.54°
Fractional positions:
Al1 0.0989 0.0989 0.0000
Al2 0.9011 0.9011 0.0000
Hg1 0.2500 0.7500 0.5000
Hg2 0.7500 0.2500 0.5000
Te1 0.5000 0.5000 0.0000

***

Below is a relaxed HoPaIrPd crystal, with properties calculated at the PBE-GGA level.

## Properties
Fermi-level density of states: 5.9 states/eV/f.u.
total DFT energy (no corrections): -7.70 eV/atom
spin magnetization: 0.0 μB per formula unit
energy relative to the lowest polymorph listed for this composition: 0.215 eV/atom

Cell: 4.9134 4.9134 4.9134 Å, 60.00 60.00 60.00°
Fractional positions:
Ho1 0.0000 0.0000 0.0000
Pa1 0.5000 0.5000 0.5000
Ir1 0.7500 0.7500 0.7500
Pd1 0.2500 0.2500 0.2500

***

Below is a relaxed NaB5H5 crystal, with properties calculated at the PBE-GGA level.

## Properties
Fermi-level density of states: 0.0 states/eV/f.u.
total DFT energy (no corrections): -4.95 eV/atom
spin magnetization: 0.0 μB per formula unit

Cell: 6.5511 13.5041 12.0261 Å, 90.00 120.51 90.00°
Fractional positions:
Na1 0.1303 0.1547 0.0289
Na2 0.1303 0.3453 0.5289
Na3 0.3600 0.6158 0.0304
Na4 0.3600 0.8842 0.5304
Na5 0.6400 0.1158 0.4696
Na6 0.6400 0.3842 0.9696
Na7 0.8697 0.6547 0.4711
Na8 0.8697 0.8453 0.9711
B1 0.2159 0.1405 0.6696
B2 0.2159 0.3595 0.1696
B3 0.2951 0.6836 0.7015
B4 0.2951 0.8164 0.2015
B5 0.3141 0.0792 0.5826
B6 0.3141 0.4208 0.0826
B7 0.3431 0.5652 0.6429
B8 0.3431 0.9348 0.1429
B9 0.3614 0.6759 0.5814
B10 0.3614 0.8241 0.0814
B11 0.3783 0.0236 0.7241
B12 0.3783 0.4764 0.2241
B13 0.3805 0.1112 0.8390
B14 0.3805 0.3888 0.3390
B15 0.3916 0.5741 0.8032
B16 0.3916 0.9259 0.3032
B17 0.4266 0.2295 0.7799
B18 0.4266 0.2705 0.2799
B19 0.4453 0.1907 0.6417
B20 0.4453 0.3093 0.1417
B21 0.5547 0.6907 0.8583
B22 0.5547 0.8093 0.3583
B23 0.5734 0.7295 0.7201
B24 0.5734 0.7705 0.2201
B25 0.6084 0.0741 0.6968
B26 0.6084 0.4259 0.1968
B27 0.6195 0.6112 0.6610
B28 0.6195 0.8888 0.1610
B29 0.6217 0.5236 0.7759
B30 0.6217 0.9764 0.2759
B31 0.6386 0.1759 0.9186
B32 0.6386 0.3241 0.4186
B33 0.6569 0.0652 0.8571
B34 0.6569 0.4348 0.3571
B35 0.6859 0.5792 0.9174
B36 0.6859 0.9208 0.4174
B37 0.7049 0.1836 0.7985
B38 0.7049 0.3164 0.2985
B39 0.7841 0.6405 0.8304
B40 0.7841 0.8595 0.3304
H1 0.0113 0.1626 0.6241
H2 0.0113 0.3374 0.1241
H3 0.1187 0.7252 0.6844
H4 0.1187 0.7748 0.1844
H5 0.1991 0.5072 0.5686
H6 0.1991 0.9928 0.0686
H7 0.2060 0.0515 0.4727
H8 0.2060 0.4485 0.9727
H9 0.2490 0.5350 0.8238
H10 0.2490 0.9650 0.3238
H11 0.2522 0.7040 0.4717
H12 0.2522 0.7960 0.9717
H13 0.2729 0.0887 0.8916
H14 0.2729 0.4113 0.3916
H15 0.3163 0.5599 0.2263
H16 0.3163 0.9401 0.7263
H17 0.3514 0.1880 0.2772
H18 0.3514 0.3120 0.7772
H19 0.4429 0.2479 0.0684
H20 0.4429 0.2521 0.5684
H21 0.5571 0.7479 0.4316
H22 0.5571 0.7521 0.9316
H23 0.6486 0.6880 0.2228
H24 0.6486 0.8120 0.7228
H25 0.6837 0.0599 0.2737
H26 0.6837 0.4401 0.7737
H27 0.7271 0.5887 0.6084
H28 0.7271 0.9113 0.1084
H29 0.7478 0.2040 0.0283
H30 0.7478 0.2960 0.5283
H31 0.7510 0.0350 0.6762
H32 0.7510 0.4650 0.1762
H33 0.7940 0.5515 0.0273
H34 0.7940 0.9485 0.5273
H35 0.8009 0.0072 0.9314
H36 0.8009 0.4928 0.4314
H37 0.8813 0.2252 0.8156
H38 0.8813 0.2748 0.3156
H39 0.9887 0.6626 0.8759
H40 0.9887 0.8374 0.3759